No. 1
The following is a GGA-PBE calculation of a relaxed AgO2F2 crystal, from Alexandria via LeMat-Bulk.

Cell lengths 3.420, 3.836, 7.873 Å; angles 94.32, 90.00, 116.47 degrees
Element x y z (fractional)
O 0.939 0.877 0.439
F 0.362 0.724 0.878
Ag 0.000 0.000 0.000
F 0.638 0.276 0.122
O 0.061 0.123 0.561

Summary:
For the electronic total energy, the calculation gives -3.94 eV per atom. The value obtained for the formation energy without anion corrections is -3.17 eV per formula unit.

No. 2
The following is a GGA-PBE calculation of a relaxed Er6SnPt crystal, from Alexandria via LeMat-Bulk.

Cell lengths 6.818, 6.830, 7.516 Å; angles 63.04, 63.12, 60.02 degrees
Element x y z (fractional)
Er 0.957 0.575 0.245
Er 0.778 0.042 0.754
Sn 0.500 0.500 0.500
Er 0.575 0.222 0.246
Er 0.222 0.958 0.246
Er 0.425 0.778 0.754
Pt 0.000 0.000 0.000
Er 0.043 0.425 0.755

Summary:
For the electronic total energy, the calculation gives -4.95 eV per atom. As for the energy of formation from the pure elements: -272 meV per atom.

No. 3
The following is a GGA-PBE calculation of a relaxed TmScCCl crystal, from Alexandria via LeMat-Bulk.

Cell lengths 3.469, 3.469, 7.626 Å; angles 76.83, 76.83, 60.00 degrees
Element x y z (fractional)
C 0.965 0.227 0.794
Sc 0.572 0.835 0.971
Cl 0.451 0.714 0.337
Tm 0.696 0.959 0.601

Summary:
For the electronic total energy, the calculation gives -6.19 eV per atom. The value obtained for the formation energy without anion corrections is -2.88 eV per formula unit.

No. 4
The following is a GGA-PBE calculation of a relaxed AcTbPmTe3 crystal, from Alexandria via LeMat-Bulk.

Cell lengths 4.475, 8.797, 10.992 Å; angles 106.27, 90.00, 90.00 degrees
Element x y z (fractional)
Pm 0.250 0.660 0.094
Te 0.250 0.780 0.542
Ac 0.250 0.192 0.220
Pm 0.750 0.340 0.906
Te 0.250 0.514 0.791
Te 0.750 0.486 0.209
Ac 0.750 0.808 0.780
Te 0.250 0.091 0.891
Te 0.750 0.220 0.458
Tb 0.250 0.152 0.622
Te 0.750 0.909 0.109
Tb 0.750 0.848 0.378

Summary:
For the electronic total energy, the calculation gives -5.12 eV per atom. The value obtained for the formation energy without anion corrections is -7.80 eV per formula unit.